1.
! Cr2FeSe4 | Alexandria via LeMat-Bulk | PBE | relaxed; values from VASP
&SYSTEM
  ibrav = 0, nat = 7, ntyp = 3
/
ATOMIC_SPECIES
Cr 52.00 Cr.upf
Fe 55.84 Fe.upf
Se 78.96 Se.upf
ATOMIC_POSITIONS crystal
Cr 0.2444 0.2444 0.2615
Cr 0.7556 0.7556 0.7385
Fe 0.5000 0.5000 0.5000
Se 0.1303 0.1303 0.7953
Se 0.3789 0.3789 0.7102
Se 0.6211 0.6211 0.2898
Se 0.8697 0.8697 0.2047
CELL_PARAMETERS angstrom
6.4852 -1.8401 0.0000
6.4852 1.8401 0.0000
-3.1220 0.0000 5.5575
! E above lowest polymorph (eV/f.u.): 0.00
! Spin magnetization (μB per formula unit): 8.9

---

2.
! Cr3FeSe | Alexandria via LeMat-Bulk | PBE | relaxed; values from VASP
&SYSTEM
  ibrav = 0, nat = 5, ntyp = 3
/
ATOMIC_SPECIES
Cr 52.00 Cr.upf
Fe 55.84 Fe.upf
Se 78.96 Se.upf
ATOMIC_POSITIONS crystal
Cr 0.0000 0.0000 0.5000
Cr 0.0000 0.5000 0.0000
Cr 0.5000 0.0000 0.0000
Fe 0.5000 0.5000 0.5000
Se 0.0000 0.0000 0.0000
CELL_PARAMETERS angstrom
4.4691 0.0000 0.0000
0.0000 4.4691 0.0000
0.0000 0.0000 4.4691
! E above lowest polymorph (eV/f.u.): 0.90
! Spin magnetization (μB per formula unit): 11.0

---

3.
! Cr2FeSe | Alexandria via LeMat-Bulk | PBE | relaxed; values from VASP
&SYSTEM
  ibrav = 0, nat = 4, ntyp = 3
/
ATOMIC_SPECIES
Cr 52.00 Cr.upf
Fe 55.84 Fe.upf
Se 78.96 Se.upf
ATOMIC_POSITIONS crystal
Cr 0.0000 0.0000 0.0000
Cr 0.5000 0.5000 0.2050
Fe 0.5000 0.5000 0.7160
Se 0.0000 0.0000 0.4991
CELL_PARAMETERS angstrom
3.1456 0.0000 0.0000
0.0000 3.2327 0.0000
0.0000 0.0000 5.3097
! E above lowest polymorph (eV/f.u.): 0.06
! Spin magnetization (μB per formula unit): 2.9

---

4.
! CrFeSe | Alexandria via LeMat-Bulk | PBE | relaxed; values from VASP
&SYSTEM
  ibrav = 0, nat = 6, ntyp = 3
/
ATOMIC_SPECIES
Cr 52.00 Cr.upf
Fe 55.84 Fe.upf
Se 78.96 Se.upf
ATOMIC_POSITIONS crystal
Cr 0.0000 0.0000 0.0000
Cr 0.5000 0.1296 0.1296
Fe 0.3571 0.7944 0.7944
Fe 0.6429 0.7944 0.7944
Se 0.1532 0.3270 0.3270
Se 0.8468 0.3270 0.3270
CELL_PARAMETERS angstrom
10.8045 0.0000 0.0000
0.0000 1.5159 2.6849
0.0000 -1.5159 2.6849
! E above lowest polymorph (eV/f.u.): 0.71
! Spin magnetization (μB per formula unit): 1.2

---

5.
! Cr2FeSe | Alexandria via LeMat-Bulk | PBE | relaxed; values from VASP
&SYSTEM
  ibrav = 0, nat = 4, ntyp = 3
/
ATOMIC_SPECIES
Cr 52.00 Cr.upf
Fe 55.84 Fe.upf
Se 78.96 Se.upf
ATOMIC_POSITIONS crystal
Cr 0.0000 0.0000 0.0000
Cr 0.5000 0.5000 0.2170
Fe 0.0000 0.0000 0.4576
Se 0.5000 0.5000 0.7320
CELL_PARAMETERS angstrom
1.5223 -2.2328 0.0000
1.5223 2.2328 0.0000
0.0000 0.0000 7.9483
! E above lowest polymorph (eV/f.u.): 0.87
! Spin magnetization (μB per formula unit): 2.2

---

6.
! CrFeSe | Alexandria via LeMat-Bulk | PBE | relaxed; values from VASP
&SYSTEM
  ibrav = 0, nat = 3, ntyp = 3
/
ATOMIC_SPECIES
Cr 52.00 Cr.upf
Fe 55.84 Fe.upf
Se 78.96 Se.upf
ATOMIC_POSITIONS crystal
Cr 0.0000 0.0000 0.0000
Fe 0.3296 0.3296 0.0000
Se 0.6555 0.6555 0.0000
CELL_PARAMETERS angstrom
-1.4898 1.4898 4.4877
1.4898 -1.4898 4.4877
1.4898 1.4898 -4.4877
! E above lowest polymorph (eV/f.u.): 0.71
! Spin magnetization (μB per formula unit): 1.3

---

7.
! Cr2FeSe | Alexandria via LeMat-Bulk | PBE | relaxed; values from VASP
&SYSTEM
  ibrav = 0, nat = 4, ntyp = 3
/
ATOMIC_SPECIES
Cr 52.00 Cr.upf
Fe 55.84 Fe.upf
Se 78.96 Se.upf
ATOMIC_POSITIONS crystal
Cr 0.0000 0.0000 0.0000
Cr 0.2233 0.2233 0.6178
Fe 0.4888 0.4888 0.4939
Se 0.7374 0.7374 0.1332
CELL_PARAMETERS angstrom
4.2130 -1.4646 0.0000
4.2130 1.4646 0.0000
-1.1281 0.0000 4.1372
! E above lowest polymorph (eV/f.u.): 0.06
! Spin magnetization (μB per formula unit): 0.6

---

8.
! Cr2FeSe4 | Alexandria via LeMat-Bulk | PBE | relaxed; values from VASP
&SYSTEM
  ibrav = 0, nat = 7, ntyp = 3
/
ATOMIC_SPECIES
Cr 52.00 Cr.upf
Fe 55.84 Fe.upf
Se 78.96 Se.upf
ATOMIC_POSITIONS crystal
Cr 0.0000 0.0000 0.2456
Cr 0.0000 0.0000 0.7544
Fe 0.0000 0.0000 0.0000
Se 0.3333 0.6667 0.3598
Se 0.3333 0.6667 0.8941
Se 0.6667 0.3333 0.1059
Se 0.6667 0.3333 0.6402
CELL_PARAMETERS angstrom
3.6739 0.0000 0.0000
-1.8369 3.1817 0.0000
0.0000 0.0000 11.2830
! E above lowest polymorph (eV/f.u.): 0.29
! Spin magnetization (μB per formula unit): 6.0

---

| no. | uncorrected formation energy (meV per atom) |
| --- | --- |
| 1 | -395 |
| 2 | 1152 |
| 3 | 241 |
| 4 | 293 |
| 5 | 444 |
| 6 | 291 |
| 7 | 241 |
| 8 | -353 |